The following is a DFT calculation (PBE-GGA) of RbLi2Cd2Bi2 after structural relaxation.

Calculated values
mass density	5.9	g/cm3
E	-2.406	eV/atom

Cell: 10.3585 10.3585 10.3585 Å, 27.50 27.50 27.50°
Closest atoms and distances in Å follow each position.
Fractional coordinates of all 7 atoms:
Rb 0.0000 0.0000 0.0000  6 Bi 3.84
Li 0.1450 0.1450 0.1450  3 Cd 2.96, 1 Bi 3.05, 3 Li 3.12
Li 0.8550 0.8550 0.8550  3 Cd 2.96, 1 Bi 3.05, 3 Li 3.12
Cd 0.4511 0.4511 0.4511  1 Cd 2.92, 3 Li 2.96, 3 Bi 2.99
Cd 0.5489 0.5489 0.5489  1 Cd 2.92, 3 Li 2.96, 3 Bi 2.99
Bi 0.2470 0.2470 0.2470  3 Cd 2.99, 4 Li 3.05-3.34
Bi 0.7530 0.7530 0.7530  3 Cd 2.99, 4 Li 3.05-3.34